No. 1
DFT (PBE-GGA) results for a geometry-optimized Cr2InCl structure.

Cell and atoms, written as POSCAR:
```
Cr2InCl
1.0
5.538 -0.024 0.011
1.490 5.334 -0.011
-2.418 -4.106 2.822
Cr Cl In
2 1 1
direct
0.981 0.981 0.000 Cr
0.519 0.519 0.000 Cr
0.750 0.250 0.500 Cl
0.250 0.750 0.500 In
```

Summary:
electronic total energy = -0.40740 Ry per atom
offset from the most stable computed form = 0.336 eV per atom
formation energy without anion corrections = 0.415 eV/atom
crystal system = orthorhombic

***

No. 2
DFT (PBE-GGA) results for a geometry-optimized CrIn2Cl structure.

Cell and atoms, written as POSCAR:
```
CrIn2Cl
1.0
5.109 0.000 0.000
2.555 4.425 0.000
2.555 1.475 4.172
Cr Cl In
1 1 2
direct
0.750 0.750 0.750 Cr
0.500 0.500 0.500 Cl
0.000 0.000 0.000 In
0.250 0.250 0.250 In
```

Summary:
electronic total energy = -0.29177 Ry per atom
offset from the most stable computed form = 0.367 eV per atom
formation energy without anion corrections = 0.267 eV/atom
crystal system = cubic

***

No. 3
DFT (PBE-GGA) results for a geometry-optimized Cr2In3Cl9 structure.

Cell and atoms, written as POSCAR:
```
Cr2In3Cl9
1.0
7.051 0.000 0.000
-3.526 6.106 0.000
0.000 0.000 17.716
Cr In Cl
4 6 18
direct
0.667 0.333 0.162 Cr
0.333 0.667 0.838 Cr
0.333 0.667 0.662 Cr
0.667 0.333 0.338 Cr
0.000 0.000 0.750 In
0.000 0.000 0.250 In
0.667 0.333 0.949 In
0.333 0.667 0.051 In
0.333 0.667 0.449 In
0.667 0.333 0.551 In
0.485 0.969 0.750 Cl
0.031 0.515 0.750 Cl
0.485 0.515 0.750 Cl
0.515 0.031 0.250 Cl
0.969 0.485 0.250 Cl
0.515 0.485 0.250 Cl
0.176 0.353 0.910 Cl
0.647 0.824 0.910 Cl
0.176 0.824 0.910 Cl
0.824 0.647 0.090 Cl
0.353 0.176 0.090 Cl
0.824 0.176 0.090 Cl
0.824 0.647 0.410 Cl
0.353 0.176 0.410 Cl
0.824 0.176 0.410 Cl
0.176 0.353 0.590 Cl
0.647 0.824 0.590 Cl
0.176 0.824 0.590 Cl
```

Summary:
electronic total energy = -0.30518 Ry per atom
formation energy without anion corrections = -1.003 eV/atom
crystal system = hexagonal

***

No. 4
DFT (PBE-GGA) results for a geometry-optimized CrIn2Cl structure.

Cell and atoms, written as POSCAR:
```
CrIn2Cl
1.0
-2.978 -7.092 -2.617
3.615 3.226 -2.138
2.139 -2.328 0.084
Cr Cl In
1 1 2
direct
0.500 0.500 0.000 Cr
0.000 0.500 0.500 Cl
0.000 0.000 0.000 In
0.500 0.000 0.500 In
```

Summary:
electronic total energy = -0.30918 Ry per atom
offset from the most stable computed form = 0.130 eV per atom
formation energy without anion corrections = 0.030 eV/atom
crystal system = monoclinic

***

No. 5
DFT (PBE-GGA) results for a geometry-optimized Cr2InCl6 structure.

Cell and atoms, written as POSCAR:
```
Cr2InCl6
1.0
7.009 0.000 0.000
0.000 5.507 -3.179
0.000 0.000 6.359
Cr In Cl
2 1 6
direct
0.500 0.667 0.333 Cr
0.500 0.333 0.667 Cr
0.000 0.000 0.000 In
0.695 0.630 0.630 Cl
0.305 0.630 0.000 Cl
0.305 0.000 0.630 Cl
0.695 0.370 0.000 Cl
0.305 0.370 0.370 Cl
0.695 0.000 0.370 Cl
```

Summary:
electronic total energy = -0.34291 Ry per atom
formation energy without anion corrections = -0.992 eV/atom
crystal system = trigonal

***

No. 6
DFT (PBE-GGA) results for a geometry-optimized Cr3InCl structure.

Cell and atoms, written as POSCAR:
```
Cr3InCl
1.0
4.204 0.000 0.000
0.000 4.204 0.000
0.000 0.000 4.204
Cr Cl In
3 1 1
direct
0.000 0.500 0.000 Cr
0.000 0.000 0.500 Cr
0.500 0.000 0.000 Cr
0.000 0.000 0.000 Cl
0.500 0.500 0.500 In
```

Summary:
electronic total energy = -0.43696 Ry per atom
offset from the most stable computed form = 0.000 eV per atom
formation energy without anion corrections = 0.746 eV/atom
crystal system = cubic

***

> Which of these has the lowest electronic total energy?

Cr3InCl